1.
First-principles (GGA-PBE) data for Ce12Ge6C after structural relaxation, as listed in Alexandria via LeMat-Bulk.

a b c (Å): 7.8029 7.8029 7.8029
angles (deg): 95.65 95.65 95.65
With the nearest neighbours (Å) after each atom.
Fractional positions:
Ce1 0.0167 0.9151 0.6588  2 Ce 2.92-3.07, 4 Ge 2.94-3.11
Ce2 0.0849 0.3412 0.9833  2 Ce 2.92-3.07, 4 Ge 2.94-3.11
Ce3 0.1817 0.4249 0.5197  1 C 2.52
Ce4 0.3412 0.9833 0.0849  2 Ce 2.92-3.07, 4 Ge 2.94-3.11
Ce5 0.4249 0.5197 0.1817  1 C 2.52
Ce6 0.4803 0.8183 0.5751  1 C 2.52
Ce7 0.5197 0.1817 0.4249  1 C 2.52
Ce8 0.5751 0.4803 0.8183  1 C 2.52
Ce9 0.6588 0.0167 0.9151  2 Ce 2.92-3.07, 4 Ge 2.94-3.11
Ce10 0.8183 0.5751 0.4803  1 C 2.52
Ce11 0.9151 0.6588 0.0167  2 Ce 2.92-3.07, 4 Ge 2.94-3.11
Ce12 0.9833 0.0849 0.3412  2 Ce 2.92-3.07, 4 Ge 2.94-3.11
Ge1 0.1612 0.7534 0.3299  8 Ce 2.94-3.27
Ge2 0.2466 0.6701 0.8388  8 Ce 2.94-3.27
Ge3 0.3299 0.1612 0.7534  8 Ce 2.94-3.27
Ge4 0.6701 0.8388 0.2466  8 Ce 2.94-3.27
Ge5 0.7534 0.3299 0.1612  8 Ce 2.94-3.27
Ge6 0.8388 0.2466 0.6701  8 Ce 2.94-3.27
C1 0.5000 0.5000 0.5000  6 Ce 2.52

Summary:
SG ... R-3
ΔH_f (0 K) ... -466 meV/atom

=====

2.
First-principles (GGA-PBE) data for Ce5GeC after structural relaxation, as listed in Alexandria via LeMat-Bulk.

a b c (Å): 6.1995 6.1995 10.2664
angles (deg): 109.98 109.98 61.50
With the nearest neighbours (Å) after each atom.
Fractional positions:
Ce1 0.0118 0.5802 0.3591  1 C 2.49
Ce2 0.0448 0.9552 0.7500  2 C 2.58
Ce3 0.1910 0.5390 0.9391  1 C 2.45
Ce4 0.4198 0.9882 0.1409  1 C 2.49
Ce5 0.4610 0.8090 0.5609  1 C 2.45
Ce6 0.5390 0.1910 0.4391  1 C 2.45
Ce7 0.5802 0.0118 0.8591  1 C 2.49
Ce8 0.8090 0.4610 0.0609  1 C 2.45
Ce9 0.9552 0.0448 0.2500  2 C 2.58
Ce10 0.9882 0.4198 0.6409  1 C 2.49
Ge1 0.4613 0.5387 0.2500  10 Ce 3.06-3.32
Ge2 0.5387 0.4613 0.7500  10 Ce 3.06-3.32
C1 0.0000 0.0000 0.0000  6 Ce 2.45-2.58
C2 0.0000 0.0000 0.5000  6 Ce 2.45-2.58

Summary:
SG ... C2/c
ΔH_f (0 K) ... -216 meV/atom

=====

3.
First-principles (GGA-PBE) data for Ce7Ge2C2 after structural relaxation, as listed in Alexandria via LeMat-Bulk.

a b c (Å): 6.4273 6.4273 6.3445
angles (deg): 90.02 90.02 71.04
With the nearest neighbours (Å) after each atom.
Fractional positions:
Ce1 0.0000 0.0000 0.0000  2 C 2.66
Ce2 0.9999 0.4998 0.2619  2 C 2.50
Ce3 0.0001 0.5002 0.7381  2 C 2.50
Ce4 0.4992 0.4992 0.7822  1 Ce 2.76, 2 C 2.91-2.92, 2 Ge 3.05
Ce5 0.4998 0.9999 0.2619  2 C 2.50
Ce6 0.5002 0.0001 0.7381  2 C 2.50
Ce7 0.5008 0.5008 0.2178  1 Ce 2.76, 2 C 2.91-2.92, 2 Ge 3.05
Ge1 0.1687 0.8313 0.5000  1 Ge 2.52
Ge2 0.8313 0.1687 0.5000  1 Ge 2.52
C1 0.2547 0.2547 0.0002  5 Ce 2.50-2.66
C2 0.7453 0.7453 0.9998  5 Ce 2.50-2.66

Summary:
SG ... C2/m
ΔH_f (0 K) ... -203 meV/atom

=====

4.
First-principles (GGA-PBE) data for Ce5Ge2C2 after structural relaxation, as listed in Alexandria via LeMat-Bulk.

a b c (Å): 10.5419 10.5419 10.5419
angles (deg): 55.38 139.37 144.01
With the nearest neighbours (Å) after each atom.
Fractional positions:
Ce1 0.2012 0.3994 0.0819  2 C 2.38-2.65
Ce2 0.2012 0.6194 0.3018  2 C 2.38-2.65
Ce3 0.2494 0.0161 0.2654  2 C 2.46-2.47
Ce4 0.2494 0.4839 0.7333  2 C 2.46-2.47
Ce5 0.3175 0.1194 0.9181  2 C 2.38-2.65
Ce6 0.3175 0.8994 0.6982  2 C 2.38-2.65
Ce7 0.6930 0.5555 0.6375  2 C 2.35-2.42
Ce8 0.7506 0.5161 0.2667  2 C 2.46-2.47
Ce9 0.7506 0.9839 0.7346  2 C 2.46-2.47
Ce10 0.9180 0.0555 0.3625  2 C 2.35-2.42
Ge1 0.7073 0.1438 0.3554  7 Ce 2.97-3.25
Ge2 0.7073 0.8519 0.0634  7 Ce 2.97-3.25
Ge3 0.7885 0.3519 0.6446  7 Ce 2.97-3.25
Ge4 0.7885 0.6438 0.9366  7 Ce 2.97-3.25
C1 0.0881 0.9254 0.6626  4 Ce 2.35-2.42
C2 0.2496 0.2496 0.0000  6 Ce 2.46-2.65
C3 0.2496 0.7496 0.5000  6 Ce 2.46-2.65
C4 0.2628 0.4254 0.3374  4 Ce 2.35-2.42

Summary:
SG ... Ima2
ΔH_f (0 K) ... -346 meV/atom

=====

Number 1: volume 24.61 Å³/atom. Number 2: volume 22.73 Å³/atom. Number 3: volume 22.53 Å³/atom. Number 4: volume 24.72 Å³/atom.